No. 1
Compound: Li4CaHg8
Source: Alexandria via LeMat-Bulk
Functional: GGA-PBE
Structure: relaxed

Cell: 8.035 8.035 8.035 Å, 54.81 54.81 54.81°
Fractional positions:
Li 0.000 0.000 0.000
Li 0.000 0.000 0.500
Li 0.000 0.500 0.000
Li 0.500 0.000 0.000
Ca 0.500 0.500 0.500
Hg 0.238 0.238 0.678
Hg 0.238 0.678 0.238
Hg 0.255 0.255 0.255
Hg 0.322 0.762 0.762
Hg 0.678 0.238 0.238
Hg 0.745 0.745 0.745
Hg 0.762 0.322 0.762
Hg 0.762 0.762 0.322

energy relative to the elements	-0.1657	eV per atom
energy	-1.09	eV per atom
total magnetization	0.000	μB per atom
calculated density	8612	kg/m3

No. 2
Compound: LiCa2Hg
Source: Alexandria via LeMat-Bulk
Functional: GGA-PBE
Structure: relaxed

Cell: 7.482 7.482 7.482 Å, 90.00 90.00 90.00°
Fractional positions:
Li 0.000 0.000 0.000
Li 0.000 0.500 0.500
Li 0.500 0.000 0.500
Li 0.500 0.500 0.000
Ca 0.000 0.000 0.500
Ca 0.000 0.500 0.000
Ca 0.250 0.250 0.250
Ca 0.250 0.750 0.750
Ca 0.500 0.000 0.000
Ca 0.500 0.500 0.500
Ca 0.750 0.250 0.750
Ca 0.750 0.750 0.250
Hg 0.250 0.250 0.750
Hg 0.250 0.750 0.250
Hg 0.750 0.250 0.250
Hg 0.750 0.750 0.750

energy relative to the elements	-0.1468	eV per atom
energy	-1.70	eV per atom
total magnetization	0.000	μB per atom
calculated density	4562	kg/m3

No. 3
Compound: LiCaHg2
Source: Alexandria via LeMat-Bulk
Functional: GGA-PBE
Structure: relaxed

Cell: 4.793 4.793 19.553 Å, 90.00 90.00 90.00°
Fractional positions:
Li 0.000 0.000 0.000
Li 0.000 0.500 0.250
Li 0.500 0.000 0.750
Li 0.500 0.500 0.500
Ca 0.000 0.000 0.500
Ca 0.000 0.500 0.750
Ca 0.500 0.000 0.250
Ca 0.500 0.500 0.000
Hg 0.183 0.250 0.125
Hg 0.250 0.683 0.375
Hg 0.250 0.817 0.875
Hg 0.317 0.250 0.625
Hg 0.683 0.750 0.625
Hg 0.750 0.183 0.875
Hg 0.750 0.317 0.375
Hg 0.817 0.750 0.125

energy relative to the elements	-0.1841	eV per atom
energy	-1.31	eV per atom
total magnetization	0.000	μB per atom
calculated density	6628	kg/m3

No. 4
Compound: Li3Ca2Hg2
Source: Alexandria via LeMat-Bulk
Functional: GGA-PBE
Structure: relaxed

Cell: 11.091 4.393 7.727 Å, 90.00 112.77 90.00°
Fractional positions:
Li 0.000 0.000 0.000
Li 0.139 0.000 0.438
Li 0.361 0.500 0.562
Li 0.500 0.500 0.000
Li 0.639 0.500 0.438
Li 0.861 0.000 0.562
Ca 0.137 0.500 0.780
Ca 0.363 0.000 0.220
Ca 0.637 0.000 0.780
Ca 0.863 0.500 0.220
Hg 0.150 0.500 0.211
Hg 0.350 0.000 0.789
Hg 0.650 0.000 0.211
Hg 0.850 0.500 0.789

energy relative to the elements	-0.3349	eV per atom
energy	-1.81	eV per atom
total magnetization	0.000	μB per atom
calculated density	4805	kg/m3

No. 5
Compound: Li2Ca3Hg4
Source: Alexandria via LeMat-Bulk
Functional: GGA-PBE
Structure: relaxed

Cell: 6.165 6.165 9.277 Å, 112.42 112.42 45.92°
Fractional positions:
Li 0.166 0.166 0.337
Li 0.834 0.834 0.663
Ca 0.142 0.142 0.692
Ca 0.500 0.500 0.000
Ca 0.858 0.858 0.308
Hg 0.215 0.215 0.074
Hg 0.417 0.417 0.597
Hg 0.583 0.583 0.403
Hg 0.785 0.785 0.926

energy relative to the elements	-0.4188	eV per atom
energy	-1.65	eV per atom
total magnetization	0.000	μB per atom
calculated density	6747	kg/m3

No. 6
Compound: Li2Ca2Hg3
Source: Alexandria via LeMat-Bulk
Functional: GGA-PBE
Structure: relaxed

Cell: 3.880 23.343 3.589 Å, 90.00 90.00 90.00°
Fractional positions:
Li 0.000 0.214 0.000
Li 0.000 0.786 0.000
Li 0.500 0.286 0.000
Li 0.500 0.714 0.000
Ca 0.000 0.082 0.000
Ca 0.000 0.918 0.000
Ca 0.500 0.418 0.000
Ca 0.500 0.582 0.000
Hg 0.000 0.330 0.500
Hg 0.000 0.500 0.500
Hg 0.000 0.670 0.500
Hg 0.500 0.000 0.500
Hg 0.500 0.170 0.500
Hg 0.500 0.830 0.500

energy relative to the elements	-0.3999	eV per atom
energy	-1.65	eV per atom
total magnetization	0.000	μB per atom
calculated density	7110	kg/m3

No. 7
Compound: Li6Ca2Hg3
Source: Alexandria via LeMat-Bulk
Functional: GGA-PBE
Structure: relaxed

Cell: 8.081 8.081 4.455 Å, 90.00 90.00 120.00°
Fractional positions:
Li 0.000 0.207 0.000
Li 0.000 0.751 0.500
Li 0.207 0.000 0.000
Li 0.249 0.249 0.500
Li 0.751 0.000 0.500
Li 0.793 0.793 0.000
Ca 0.333 0.667 0.000
Ca 0.667 0.333 0.000
Hg 0.000 0.405 0.500
Hg 0.405 0.000 0.500
Hg 0.595 0.595 0.500

energy relative to the elements	-0.2594	eV per atom
energy	-1.75	eV per atom
total magnetization	0.000	μB per atom
calculated density	4769	kg/m3

No. 8
Compound: Li8Ca3Hg
Source: Alexandria via LeMat-Bulk
Functional: GGA-PBE
Structure: relaxed

Cell: 10.286 10.286 10.286 Å, 33.23 33.23 33.23°
Fractional positions:
Li 0.000 0.000 0.000
Li 0.243 0.243 0.749
Li 0.243 0.749 0.243
Li 0.258 0.751 0.751
Li 0.497 0.497 0.497
Li 0.749 0.243 0.243
Li 0.751 0.258 0.751
Li 0.751 0.751 0.258
Ca 0.187 0.187 0.187
Ca 0.318 0.318 0.318
Ca 0.798 0.798 0.798
Hg 0.684 0.684 0.684

energy relative to the elements	-0.0600	eV per atom
energy	-1.86	eV per atom
total magnetization	0.000	μB per atom
calculated density	2148	kg/m3

No. 9
Compound: Li6Ca3Hg5
Source: Alexandria via LeMat-Bulk
Functional: GGA-PBE
Structure: relaxed

Cell: 4.518 13.513 10.466 Å, 90.00 90.00 90.00°
Fractional positions:
Li 0.250 0.070 0.094
Li 0.250 0.250 0.537
Li 0.250 0.250 0.941
Li 0.250 0.430 0.094
Li 0.250 0.599 0.481
Li 0.250 0.901 0.481
Li 0.750 0.099 0.519
Li 0.750 0.401 0.519
Li 0.750 0.570 0.906
Li 0.750 0.750 0.059
Li 0.750 0.750 0.463
Li 0.750 0.930 0.906
Ca 0.250 0.060 0.752
Ca 0.250 0.440 0.752
Ca 0.250 0.750 0.761
Ca 0.750 0.250 0.239
Ca 0.750 0.560 0.248
Ca 0.750 0.940 0.248
Hg 0.250 0.092 0.361
Hg 0.250 0.408 0.361
Hg 0.250 0.627 0.032
Hg 0.250 0.750 0.291
Hg 0.250 0.873 0.032
Hg 0.750 0.127 0.968
Hg 0.750 0.250 0.709
Hg 0.750 0.373 0.968
Hg 0.750 0.592 0.639
Hg 0.750 0.908 0.639

energy relative to the elements	-0.3590	eV per atom
energy	-1.72	eV per atom
total magnetization	0.000	μB per atom
calculated density	6054	kg/m3

No. 10
Compound: LiCa2Hg
Source: Alexandria via LeMat-Bulk
Functional: GGA-PBE
Structure: relaxed

Cell: 4.149 4.777 6.286 Å, 90.00 109.15 90.00°
Fractional positions:
Li 0.000 0.000 0.000
Ca 0.290 0.000 0.579
Ca 0.587 0.500 0.173
Hg 0.870 0.500 0.738

energy relative to the elements	-0.2902	eV per atom
energy	-1.84	eV per atom
total magnetization	0.000	μB per atom
calculated density	4060	kg/m3

No. 11
Compound: Li2Ca8Hg
Source: Alexandria via LeMat-Bulk
Functional: GGA-PBE
Structure: relaxed

Cell: 9.942 9.942 7.572 Å, 107.86 107.86 33.14°
Fractional positions:
Li 0.180 0.180 0.205
Li 0.820 0.820 0.795
Ca 0.023 0.023 0.286
Ca 0.199 0.199 0.798
Ca 0.340 0.340 0.537
Ca 0.408 0.408 0.064
Ca 0.592 0.592 0.936
Ca 0.660 0.660 0.463
Ca 0.801 0.801 0.202
Ca 0.977 0.977 0.714
Hg 0.500 0.500 0.500

energy relative to the elements	-0.0745	eV per atom
energy	-1.91	eV per atom
total magnetization	0.000	μB per atom
calculated density	2292	kg/m3

No. 12
Compound: LiCa2Hg
Source: Alexandria via LeMat-Bulk
Functional: GGA-PBE
Structure: relaxed

Cell: 3.930 3.930 29.257 Å, 90.00 90.00 120.00°
Fractional positions:
Li 0.000 0.000 0.000
Li 0.333 0.667 0.667
Li 0.667 0.333 0.333
Ca 0.000 0.000 0.243
Ca 0.000 0.000 0.425
Ca 0.333 0.667 0.092
Ca 0.333 0.667 0.910
Ca 0.667 0.333 0.576
Ca 0.667 0.333 0.759
Hg 0.000 0.000 0.834
Hg 0.333 0.667 0.501
Hg 0.667 0.333 0.167

energy relative to the elements	-0.1536	eV per atom
energy	-1.71	eV per atom
total magnetization	0.000	μB per atom
calculated density	3662	kg/m3

No. 13
Compound: Li3CaHg
Source: Alexandria via LeMat-Bulk
Functional: GGA-PBE
Structure: relaxed

Cell: 7.329 4.313 7.908 Å, 90.00 104.59 90.00°
Fractional positions:
Li 0.095 0.250 0.138
Li 0.335 0.750 0.398
Li 0.348 0.750 0.025
Li 0.652 0.250 0.975
Li 0.665 0.250 0.602
Li 0.905 0.750 0.862
Ca 0.185 0.250 0.677
Ca 0.815 0.750 0.323
Hg 0.483 0.250 0.249
Hg 0.517 0.750 0.751

energy relative to the elements	-0.2014	eV per atom
energy	-1.81	eV per atom
total magnetization	0.000	μB per atom
calculated density	3590	kg/m3

No. 14
Compound: LiCaHg2
Source: Alexandria via LeMat-Bulk
Functional: GGA-PBE
Structure: relaxed

Cell: 3.864 4.976 11.700 Å, 90.00 90.00 90.00°
Fractional positions:
Li 0.000 0.000 0.000
Li 0.500 0.500 0.500
Ca 0.000 0.000 0.500
Ca 0.500 0.500 0.000
Hg 0.000 0.000 0.217
Hg 0.000 0.000 0.783
Hg 0.500 0.500 0.283
Hg 0.500 0.500 0.717

energy relative to the elements	-0.0142	eV per atom
energy	-1.14	eV per atom
total magnetization	0.000	μB per atom
calculated density	6618	kg/m3

No. 15
Compound: Li2CaHg7
Source: Alexandria via LeMat-Bulk
Functional: GGA-PBE
Structure: relaxed

Cell: 4.924 4.924 11.500 Å, 90.00 90.00 120.00°
Fractional positions:
Li 0.000 0.000 0.000
Li 0.333 0.667 0.838
Ca 0.667 0.333 0.341
Hg 0.000 0.000 0.229
Hg 0.000 0.000 0.514
Hg 0.000 0.000 0.771
Hg 0.333 0.667 0.103
Hg 0.333 0.667 0.456
Hg 0.667 0.333 0.651
Hg 0.667 0.333 0.948

energy relative to the elements	-0.2452	eV per atom
energy	-1.04	eV per atom
total magnetization	0.000	μB per atom
calculated density	10028	kg/m3

No. 16
Compound: LiCa3Hg8
Source: Alexandria via LeMat-Bulk
Functional: GGA-PBE
Structure: relaxed

Cell: 7.687 7.687 7.687 Å, 116.20 116.20 96.72°
Fractional positions:
Li 0.000 0.000 0.000
Ca 0.250 0.750 0.500
Ca 0.500 0.500 0.000
Ca 0.750 0.250 0.500
Hg 0.083 0.083 0.737
Hg 0.177 0.177 0.458
Hg 0.281 0.823 0.000
Hg 0.346 0.346 0.263
Hg 0.654 0.917 0.000
Hg 0.719 0.719 0.542
Hg 0.823 0.281 0.000
Hg 0.917 0.654 0.000

energy relative to the elements	-0.2539	eV per atom
energy	-1.11	eV per atom
total magnetization	0.000	μB per atom
calculated density	8532	kg/m3

No. 17
Compound: LiCaHg6
Source: Alexandria via LeMat-Bulk
Functional: GGA-PBE
Structure: relaxed

Cell: 5.132 6.601 11.431 Å, 90.00 90.00 90.00°
Fractional positions:
Li 0.000 0.000 0.000
Li 0.000 0.500 0.500
Ca 0.500 0.000 0.333
Ca 0.500 0.500 0.833
Hg 0.000 0.000 0.504
Hg 0.000 0.244 0.748
Hg 0.000 0.256 0.248
Hg 0.000 0.500 0.004
Hg 0.000 0.744 0.248
Hg 0.000 0.756 0.748
Hg 0.500 0.000 0.837
Hg 0.500 0.243 0.080
Hg 0.500 0.257 0.580
Hg 0.500 0.500 0.337
Hg 0.500 0.743 0.580
Hg 0.500 0.757 0.080

energy relative to the elements	-0.2854	eV per atom
energy	-1.00	eV per atom
total magnetization	0.000	μB per atom
calculated density	10725	kg/m3

No. 18
Compound: Li5CaHg2
Source: Alexandria via LeMat-Bulk
Functional: GGA-PBE
Structure: relaxed

Cell: 4.172 8.322 10.320 Å, 90.00 90.00 90.00°
Fractional positions:
Li 0.000 0.000 0.000
Li 0.000 0.314 0.347
Li 0.000 0.314 0.653
Li 0.000 0.686 0.347
Li 0.000 0.686 0.653
Li 0.500 0.186 0.153
Li 0.500 0.186 0.847
Li 0.500 0.500 0.500
Li 0.500 0.814 0.153
Li 0.500 0.814 0.847
Ca 0.000 0.500 0.000
Ca 0.500 0.000 0.500
Hg 0.000 0.000 0.264
Hg 0.000 0.000 0.736
Hg 0.500 0.500 0.236
Hg 0.500 0.500 0.764

energy relative to the elements	-0.2495	eV per atom
energy	-1.77	eV per atom
total magnetization	0.000	μB per atom
calculated density	4411	kg/m3

No. 19
Compound: Li16Ca2Hg
Source: Alexandria via LeMat-Bulk
Functional: GGA-PBE
Structure: relaxed

Cell: 7.513 7.513 7.513 Å, 83.68 83.68 83.68°
Fractional positions:
Li 0.004 0.498 0.498
Li 0.047 0.047 0.047
Li 0.146 0.428 0.865
Li 0.146 0.865 0.428
Li 0.156 0.156 0.627
Li 0.156 0.627 0.156
Li 0.284 0.792 0.792
Li 0.428 0.146 0.865
Li 0.428 0.865 0.146
Li 0.498 0.004 0.498
Li 0.498 0.498 0.004
Li 0.627 0.156 0.156
Li 0.792 0.284 0.792
Li 0.792 0.792 0.284
Li 0.865 0.146 0.428
Li 0.865 0.428 0.146
Ca 0.483 0.483 0.483
Ca 0.801 0.801 0.801
Hg 0.244 0.244 0.244

energy relative to the elements	-0.0361	eV per atom
energy	-1.87	eV per atom
total magnetization	0.000	μB per atom
calculated density	1561	kg/m3

No. 20
Compound: Li2Ca3Hg5
Source: Alexandria via LeMat-Bulk
Functional: GGA-PBE
Structure: relaxed

Cell: 11.013 11.013 3.955 Å, 90.00 90.00 90.00°
Fractional positions:
Li 0.117 0.383 0.000
Li 0.383 0.883 0.000
Li 0.617 0.117 0.000
Li 0.883 0.617 0.000
Ca 0.000 0.000 0.000
Ca 0.179 0.679 0.000
Ca 0.321 0.179 0.000
Ca 0.500 0.500 0.000
Ca 0.679 0.821 0.000
Ca 0.821 0.321 0.000
Hg 0.000 0.500 0.500
Hg 0.064 0.215 0.500
Hg 0.215 0.936 0.500
Hg 0.285 0.436 0.500
Hg 0.436 0.715 0.500
Hg 0.500 0.000 0.500
Hg 0.564 0.285 0.500
Hg 0.715 0.564 0.500
Hg 0.785 0.064 0.500
Hg 0.936 0.785 0.500

energy relative to the elements	-0.4382	eV per atom
energy	-1.57	eV per atom
total magnetization	0.000	μB per atom
calculated density	7873	kg/m3

No. 21
Compound: LiCaHg3
Source: Alexandria via LeMat-Bulk
Functional: GGA-PBE
Structure: relaxed

Cell: 14.776 14.776 4.710 Å, 90.00 90.00 166.29°
Fractional positions:
Li 0.213 0.787 0.750
Li 0.787 0.213 0.250
Ca 0.080 0.920 0.250
Ca 0.920 0.080 0.750
Hg 0.307 0.693 0.750
Hg 0.368 0.632 0.250
Hg 0.472 0.528 0.250
Hg 0.528 0.472 0.750
Hg 0.632 0.368 0.750
Hg 0.693 0.307 0.250

energy relative to the elements	-0.3699	eV per atom
energy	-1.33	eV per atom
total magnetization	0.000	μB per atom
calculated density	8842	kg/m3

No. 22
Compound: LiCaLuHg
Source: Alexandria via LeMat-Bulk
Functional: GGA-PBE
Structure: relaxed

Cell: 7.387 7.387 7.387 Å, 90.00 90.00 90.00°
Fractional positions:
Li 0.000 0.000 0.000
Li 0.000 0.500 0.500
Li 0.500 0.000 0.500
Li 0.500 0.500 0.000
Ca 0.250 0.250 0.750
Ca 0.250 0.750 0.250
Ca 0.750 0.250 0.250
Ca 0.750 0.750 0.750
Lu 0.250 0.250 0.250
Lu 0.250 0.750 0.750
Lu 0.750 0.250 0.750
Lu 0.750 0.750 0.250
Hg 0.000 0.000 0.500
Hg 0.000 0.500 0.000
Hg 0.500 0.000 0.000
Hg 0.500 0.500 0.500

energy relative to the elements	-0.2241	eV per atom
energy	-2.41	eV per atom
total magnetization	0.001	μB per atom
calculated density	6962	kg/m3